Entry 1:
# Sc2MnPb PBEsol optimized geometry
data_Sc2MnPb
_chemical_formula_sum 'Sc4 Mn2 Pb2'
_cell_length_a 4.488
_cell_length_b 3.355
_cell_length_c 11.004
_cell_angle_alpha 90.00
_cell_angle_beta 90.00
_cell_angle_gamma 90.00
_space_group_name_H-M_alt 'A m m 2'
_space_group_IT_number 38
loop_
_space_group_symop_operation_xyz
'x,y,z'
'-x,-y,z'
'-x,y,z'
'x,-y,z'
'x,y+1/2,z+1/2'
'-x,-y+1/2,z+1/2'
'-x,y+1/2,z+1/2'
'x,-y+1/2,z+1/2'
loop_
_atom_site_label
_atom_site_fract_x
_atom_site_fract_y
_atom_site_fract_z
_atom_site_occupancy
Sc1 0.000 0.000 0.000 1
Sc2 0.500 0.000 0.322 1
Mn1 0.000 0.000 0.746 1
Pb1 0.500 0.000 0.594 1
# * E: -6.824 eV per atom
# * V: 165.70 Å³ per cell
# * energy relative to the elements: -0.328 eV per formula unit

---

Entry 2:
# TiN PBEsol optimized geometry
data_TiN
_chemical_formula_sum 'Ti4 N4'
_cell_length_a 4.210
_cell_length_b 4.210
_cell_length_c 4.210
_cell_angle_alpha 90.00
_cell_angle_beta 90.00
_cell_angle_gamma 90.00
_space_group_name_H-M_alt 'F m -3 m'
_space_group_IT_number 225
_space_group_name_Hall '-F 4 2 3'
loop_
_atom_site_label
_atom_site_fract_x
_atom_site_fract_y
_atom_site_fract_z
_atom_site_occupancy
Ti1 0.000 0.000 0.000 1
N1 0.000 0.000 0.500 1
# * E: -10.359 eV per atom
# * V: 74.60 Å³ per cell

---

Entry 3:
# BaBe3Bi PBEsol optimized geometry
data_BaBe3Bi
_chemical_formula_sum 'Ba1 Be3 Bi1'
_cell_length_a 5.053
_cell_length_b 5.053
_cell_length_c 5.053
_cell_angle_alpha 90.00
_cell_angle_beta 90.00
_cell_angle_gamma 90.00
_space_group_name_H-M_alt 'P m -3 m'
_space_group_IT_number 221
_space_group_name_Hall '-P 4 2 3'
loop_
_atom_site_label
_atom_site_fract_x
_atom_site_fract_y
_atom_site_fract_z
_atom_site_occupancy
Ba1 0.000 0.000 0.000 1
Be1 0.000 0.500 0.500 1
Bi1 0.500 0.500 0.500 1
# * E: -2.717 eV per atom
# * V: 129.03 Å³ per cell
# * energy relative to the elements: 4.852 eV per formula unit

---

Entry 4:
# Li2ZnI4 PBEsol optimized geometry
data_Li2ZnI4
_chemical_formula_sum 'Li8 Zn4 I16'
_cell_length_a 14.597
_cell_length_b 8.424
_cell_length_c 6.915
_cell_angle_alpha 90.00
_cell_angle_beta 90.00
_cell_angle_gamma 90.00
_space_group_name_H-M_alt 'P n m a'
_space_group_IT_number 62
loop_
_space_group_symop_operation_xyz
'x,y,z'
'-x,-y,-z'
'-x+1/2,-y,z+1/2'
'x+1/2,y,-z+1/2'
'x+1/2,-y+1/2,-z+1/2'
'-x+1/2,y+1/2,z+1/2'
'-x,y+1/2,-z'
'x,-y+1/2,z'
loop_
_atom_site_label
_atom_site_fract_x
_atom_site_fract_y
_atom_site_fract_z
_atom_site_occupancy
Li1 0.000 0.000 0.000 1
Li2 0.238 0.250 0.498 1
Zn1 0.086 0.750 0.599 1
I1 0.078 0.250 0.248 1
I2 0.089 0.750 0.226 1
I3 0.167 0.505 0.755 1
# * E: -2.722 eV per atom
# * V: 850.27 Å³ per cell

---

Entry 5:
# LaAlCl2 PBEsol optimized geometry
data_LaAlCl2
_chemical_formula_sum 'La2 Al2 Cl4'
_cell_length_a 3.733
_cell_length_b 4.361
_cell_length_c 11.476
_cell_angle_alpha 90.00
_cell_angle_beta 90.00
_cell_angle_gamma 90.00
_space_group_name_H-M_alt 'I m m 2'
_space_group_IT_number 44
loop_
_space_group_symop_operation_xyz
'x,y,z'
'-x,-y,z'
'-x,y,z'
'x,-y,z'
'x+1/2,y+1/2,z+1/2'
'-x+1/2,-y+1/2,z+1/2'
'-x+1/2,y+1/2,z+1/2'
'x+1/2,-y+1/2,z+1/2'
loop_
_atom_site_label
_atom_site_fract_x
_atom_site_fract_y
_atom_site_fract_z
_atom_site_occupancy
La1 0.000 0.000 0.000 1
Al1 0.000 0.500 0.235 1
Cl1 0.000 0.000 0.463 1
Cl2 0.000 0.500 0.698 1
# * E: -4.489 eV per atom
# * polymorph energy (0 for the lowest one): 0.007 eV per atom
# * V: 186.84 Å³ per cell

---

Entry 6:
# PRu2W PBEsol optimized geometry
data_PRu2W
_chemical_formula_sum 'P1 Ru2 W1'
_cell_length_a 2.812
_cell_length_b 3.720
_cell_length_c 5.204
_cell_angle_alpha 90.00
_cell_angle_beta 90.00
_cell_angle_gamma 90.00
_space_group_name_H-M_alt 'P m m m'
_space_group_IT_number 47
loop_
_space_group_symop_operation_xyz
'x,y,z'
'-x,-y,-z'
'-x,-y,z'
'x,y,-z'
'x,-y,-z'
'-x,y,z'
'-x,y,-z'
'x,-y,z'
loop_
_atom_site_label
_atom_site_fract_x
_atom_site_fract_y
_atom_site_fract_z
_atom_site_occupancy
P1 0.000 0.000 0.000 1
Ru1 0.500 0.500 0.245 1
W1 0.000 0.000 0.500 1
# * E: -9.976 eV per atom
# * V: 54.45 Å³ per cell
# * energy relative to the elements: 0.038 eV per formula unit

---

Entry 7:
# Tl2SbPb PBEsol optimized geometry
data_Tl2SbPb
_chemical_formula_sum 'Tl2 Sb1 Pb1'
_cell_length_a 3.326
_cell_length_b 3.326
_cell_length_c 10.284
_cell_angle_alpha 90.00
_cell_angle_beta 90.00
_cell_angle_gamma 90.00
_space_group_name_H-M_alt 'P 4/m m m'
_space_group_IT_number 123
_space_group_name_Hall '-P 4 2'
loop_
_atom_site_label
_atom_site_fract_x
_atom_site_fract_y
_atom_site_fract_z
_atom_site_occupancy
Tl1 0.000 0.000 0.243 1
Sb1 0.500 0.500 0.000 1
Pb1 0.500 0.500 0.500 1
# * E: -3.413 eV per atom
# * polymorph energy (0 for the lowest one): 0.038 eV per atom
# * V: 113.74 Å³ per cell

---

Entry 8:
# Be2H2Br PBEsol optimized geometry
data_Be2H2Br
_chemical_formula_sum 'Be4 H4 Br2'
_cell_length_a 5.956
_cell_length_b 5.956
_cell_length_c 2.983
_cell_angle_alpha 90.00
_cell_angle_beta 90.00
_cell_angle_gamma 90.00
_space_group_name_H-M_alt 'P 4/m b m'
_space_group_IT_number 127
_space_group_name_Hall '-P 4 2ab'
loop_
_atom_site_label
_atom_site_fract_x
_atom_site_fract_y
_atom_site_fract_z
_atom_site_occupancy
Be1 0.118 0.382 0.000 1
H1 0.117 0.617 0.500 1
Br1 0.000 0.000 0.000 1
# * E: -2.570 eV per atom
# * V: 105.82 Å³ per cell

---

Entry 9:
# HfInAs2Se PBEsol optimized geometry
data_HfInAs2Se
_chemical_formula_sum 'Hf1 In1 As2 Se1'
_cell_length_a 5.140
_cell_length_b 5.140
_cell_length_c 5.073
_cell_angle_alpha 90.00
_cell_angle_beta 90.00
_cell_angle_gamma 90.00
_space_group_name_H-M_alt 'P 4/m m m'
_space_group_IT_number 123
_space_group_name_Hall '-P 4 2'
loop_
_atom_site_label
_atom_site_fract_x
_atom_site_fract_y
_atom_site_fract_z
_atom_site_occupancy
Hf1 0.000 0.000 0.000 1
In1 0.500 0.500 0.500 1
As1 0.000 0.500 0.000 1
Se1 0.000 0.000 0.500 1
# * E: -5.590 eV per atom
# * V: 134.00 Å³ per cell

---

Entry 10:
# SrIn2Pt PBEsol optimized geometry
data_SrIn2Pt
_chemical_formula_sum 'Sr2 In4 Pt2'
_cell_length_a 3.699
_cell_length_b 4.661
_cell_length_c 11.776
_cell_angle_alpha 90.00
_cell_angle_beta 90.00
_cell_angle_gamma 90.00
_space_group_name_H-M_alt 'A m m 2'
_space_group_IT_number 38
loop_
_space_group_symop_operation_xyz
'x,y,z'
'-x,-y,z'
'-x,y,z'
'x,-y,z'
'x,y+1/2,z+1/2'
'-x,-y+1/2,z+1/2'
'-x,y+1/2,z+1/2'
'x,-y+1/2,z+1/2'
loop_
_atom_site_label
_atom_site_fract_x
_atom_site_fract_y
_atom_site_fract_z
_atom_site_occupancy
Sr1 0.000 0.000 0.000 1
In1 0.000 0.000 0.714 1
In2 0.500 0.000 0.312 1
Pt1 0.500 0.000 0.543 1
# * E: -4.145 eV per atom
# * V: 203.00 Å³ per cell
# * energy relative to the elements: -1.811 eV per formula unit

---

Entry 11:
# HfSeBr2N PBEsol optimized geometry
data_HfSeBr2N
_chemical_formula_sum 'Hf1 Se1 Br2 N1'
_cell_length_a 5.268
_cell_length_b 5.268
_cell_length_c 5.033
_cell_angle_alpha 90.00
_cell_angle_beta 90.00
_cell_angle_gamma 90.00
_space_group_name_H-M_alt 'P 4/m m m'
_space_group_IT_number 123
_space_group_name_Hall '-P 4 2'
loop_
_atom_site_label
_atom_site_fract_x
_atom_site_fract_y
_atom_site_fract_z
_atom_site_occupancy
Hf1 0.000 0.000 0.000 1
Se1 0.000 0.000 0.500 1
Br1 0.000 0.500 0.000 1
N1 0.500 0.500 0.500 1
# * E: -5.099 eV per atom
# * polymorph energy (0 for the lowest one): 0.000 eV per atom
# * V: 139.65 Å³ per cell

---

Entry 12:
# AlTlSb2Te PBEsol optimized geometry
data_AlTlSb2Te
_chemical_formula_sum 'Al1 Tl1 Sb2 Te1'
_cell_length_a 5.246
_cell_length_b 5.246
_cell_length_c 5.440
_cell_angle_alpha 90.00
_cell_angle_beta 90.00
_cell_angle_gamma 90.00
_space_group_name_H-M_alt 'P 4/m m m'
_space_group_IT_number 123
_space_group_name_Hall '-P 4 2'
loop_
_atom_site_label
_atom_site_fract_x
_atom_site_fract_y
_atom_site_fract_z
_atom_site_occupancy
Al1 0.000 0.000 0.000 1
Tl1 0.500 0.500 0.500 1
Sb1 0.000 0.500 0.000 1
Te1 0.000 0.000 0.500 1
# * E: -3.598 eV per atom
# * V: 149.75 Å³ per cell

---

Number 1: total moment 4.9 μB per cell. Number 2: total moment 0.0 μB per cell. Number 3: total moment 0.0 μB per cell. Number 4: total moment 0.0 μB per cell. Number 5: total moment 0.0 μB per cell. Number 6: total moment 0.0 μB per cell. Number 7: total moment 0.0 μB per cell. Number 8: total moment 0.0 μB per cell. Number 9: total moment 0.0 μB per cell. Number 10: total moment 0.0 μB per cell. Number 11: total moment 3.0 μB per cell. Number 12: total moment 0.0 μB per cell.